Model w:
CaReMo2 (SCAN, PBEsol geometry); space-group type = P2/m, No. 10; magnetic moment = 0.00 Bohr magnetons per cell; N(E_F) = 0.7857 states/eV/atom
1.0
-0.3243 -2.3070 -1.3788
3.5141 -1.7472 2.0969
-3.2897 -1.2272 4.4904
Ca Re Mo
1 1 2
Direct
0.0000 0.5000 0.5000
0.5000 0.5000 0.0000
0.7488 0.0000 0.7810
0.2512 0.0000 0.2190

***

Model x:
CaReMo2 (SCAN, PBEsol geometry); space-group type = P4mm, No. 99; magnetic moment = 0.00 Bohr magnetons per cell; N(E_F) = 1.0909 states/eV/atom
1.0
-3.0774 -0.5278 -0.1952
0.4131 -2.8556 1.2091
-0.9021 2.7462 6.7941
Mo Ca Re
2 1 1
Direct
0.0000 0.0000 0.0551
0.5000 0.5000 0.2563
0.5000 0.5000 0.7426
0.0000 0.0000 0.4460

***

The least stable of them is model w.